# 1
Below is a relaxed AlTlSb2 crystal, with properties calculated at the GGA-PBEsol level.

Computed properties:
E_form (uncorrected): 0.035 eV per atom

Structure (extended XYZ):
```
8
Lattice="6.391 0.000 0.000 0.000 6.391 0.000 -3.196 -3.196 6.383" Properties=species:S:1:pos:R:3 pbc="T T T"
Tl 0.000 3.196 3.191
Tl 0.000 0.000 0.000
Sb -1.598 -1.430 4.787
Sb 1.598 1.430 4.787
Sb 1.766 4.793 1.596
Sb 4.626 1.598 1.596
Al 3.196 0.000 3.191
Al 3.196 3.196 0.000
```

---

# 2
Below is a relaxed Al2SbW crystal, with properties calculated at the GGA-PBEsol level.

Computed properties:
E_form (uncorrected): 0.741 eV per atom

Structure (extended XYZ):
```
8
Lattice="-0.711 -5.293 -0.810 -0.177 -3.480 4.890 -5.669 -1.976 -0.120" Properties=species:S:1:pos:R:3 pbc="T T T"
Al -0.846 -6.334 1.613
Al -3.050 -1.654 -0.024
Al -3.330 -7.772 4.187
Al -5.889 -5.738 2.145
W 0.000 0.000 0.000
W -3.456 -6.698 1.778
Sb -3.101 -4.051 2.183
Sb -0.356 -2.646 -0.405
```

---

# 3
Below is a relaxed AlSbW2 crystal, with properties calculated at the GGA-PBEsol level.

Computed properties:
E_form (uncorrected): 0.663 eV per atom

Structure (extended XYZ):
```
8
Lattice="-0.175 -2.613 2.953 -2.496 -2.214 -2.108 8.673 -2.301 -4.159" Properties=species:S:1:pos:R:3 pbc="T T T"
Al -1.336 -2.414 0.422
Al 3.581 -3.664 -0.392
W 1.086 -3.584 0.631
W 6.068 -2.420 -3.101
W -0.089 -3.600 -1.655
W 4.938 -4.651 -2.505
Sb 0.000 0.000 0.000
Sb 2.420 -3.464 -2.923
```

---

# 4
Below is a relaxed AlSbW2 crystal, with properties calculated at the GGA-PBEsol level.

Computed properties:
E_form (uncorrected): 0.435 eV per atom

Structure (extended XYZ):
```
4
Lattice="4.046 0.000 0.000 0.000 4.046 0.000 -2.023 -2.023 4.035" Properties=species:S:1:pos:R:3 pbc="T T T"
Sb 0.000 2.023 2.018
W 2.023 0.000 2.018
W 0.000 0.000 0.000
Al 2.023 2.023 0.000
```

---

# 5
Below is a relaxed AlSbW2 crystal, with properties calculated at the GGA-PBEsol level.

Computed properties:
E_form (uncorrected): 0.482 eV per atom

Structure (extended XYZ):
```
4
Lattice="-2.144 2.560 0.371 -1.691 -1.752 2.315 3.463 2.283 4.257" Properties=species:S:1:pos:R:3 pbc="T T T"
W 2.712 1.788 3.335
W 0.751 0.495 0.923
Sb -0.186 1.545 3.472
Al -1.918 0.404 1.343
```

---

# 6
Below is a relaxed Al2SbW crystal, with properties calculated at the GGA-PBEsol level.

Computed properties:
E_form (uncorrected): 0.294 eV per atom

Structure (extended XYZ):
```
4
Lattice="3.559 0.000 0.000 0.000 4.590 0.000 -1.779 -2.295 4.147" Properties=species:S:1:pos:R:3 pbc="T T T"
W 0.000 2.295 2.134
Al 0.000 0.000 0.059
Al 1.779 0.000 1.996
Sb 0.000 0.000 4.105
```

---

# 7
Below is a relaxed AlSb3W crystal, with properties calculated at the GGA-PBEsol level.

Computed properties:
E_form (uncorrected): 0.792 eV per atom

Structure (extended XYZ):
```
5
Lattice="-0.537 -5.180 0.254 2.285 -0.007 4.687 -4.656 0.594 2.270" Properties=species:S:1:pos:R:3 pbc="T T T"
Sb -0.268 -2.590 0.127
Sb -2.328 0.297 1.135
Sb 1.142 -0.003 2.343
W 0.000 0.000 0.000
Al -1.454 -2.296 3.606
```

---

# 8
Below is a relaxed YAl2Sb2 crystal, with properties calculated at the GGA-PBEsol level.

Computed properties:
E_form (uncorrected): -0.243 eV per atom

Structure (extended XYZ):
```
10
Lattice="3.829 0.000 0.000 0.000 7.677 0.000 0.000 0.000 7.677" Properties=species:S:1:pos:R:3 pbc="T T T"
Sb 1.914 5.200 6.316
Sb 1.914 1.361 5.200
Sb 1.914 6.316 2.477
Sb 1.914 2.477 1.361
Y 0.000 3.839 3.839
Y 0.000 0.000 0.000
Al 0.000 2.908 6.746
Al 0.000 4.770 0.931
Al 0.000 6.746 4.770
Al 0.000 0.931 2.908
```

---

# 9
Below is a relaxed YAlSb4 crystal, with properties calculated at the GGA-PBEsol level.

Computed properties:
E_form (uncorrected): 0.076 eV per atom

Structure (extended XYZ):
```
6
Lattice="6.128 0.000 0.000 3.064 5.307 0.000 3.064 1.769 5.003" Properties=species:S:1:pos:R:3 pbc="T T T"
Sb 6.128 3.538 4.380
Sb 7.661 2.652 1.875
Sb 4.594 2.652 1.875
Sb 6.128 5.309 1.875
Y 9.191 5.307 3.752
Al 0.000 0.000 0.000
```

---

# 10
Below is a relaxed YAlSb crystal, with properties calculated at the GGA-PBEsol level.

Computed properties:
E_form (uncorrected): -0.434 eV per atom

Structure (extended XYZ):
```
3
Lattice="-2.031 2.996 -0.746 0.292 -1.163 -3.496 -3.449 -3.702 2.687" Properties=species:S:1:pos:R:3 pbc="T T T"
Sb -2.156 0.086 -1.952
Al -0.145 -0.094 0.019
Y -2.886 -1.862 0.378
```

---

# 11
Below is a relaxed AlZn2Sb crystal, with properties calculated at the GGA-PBEsol level.

Computed properties:
E_form (uncorrected): 0.193 eV per atom

Structure (extended XYZ):
```
4
Lattice="3.128 -0.016 0.090 1.550 2.717 0.090 1.812 1.046 8.876" Properties=species:S:1:pos:R:3 pbc="T T T"
Sb 1.714 0.990 2.260
Zn 4.845 2.797 6.827
Zn 6.325 3.651 8.751
Al 3.343 1.930 4.800
```

---

# 12
Below is a relaxed AlZn2Sb crystal, with properties calculated at the GGA-PBEsol level.

Computed properties:
E_form (uncorrected): 0.175 eV per atom

Structure (extended XYZ):
```
4
Lattice="3.134 0.028 0.000 -0.210 3.127 0.000 0.000 0.000 7.467" Properties=species:S:1:pos:R:3 pbc="T T T"
Zn 1.462 1.577 5.645
Zn 0.000 0.000 7.161
Al 0.000 0.000 4.044
Sb 1.462 1.577 1.818
```

---

Number 1: E -31.4 eV for the cell shown. Number 2: E -47.2 eV for the cell shown. Number 3: E -67.2 eV for the cell shown. Number 4: E -34.5 eV for the cell shown. Number 5: E -34.3 eV for the cell shown. Number 6: E -25.4 eV for the cell shown. Number 7: E -27.6 eV for the cell shown. Number 8: E -50.7 eV for the cell shown. Number 9: E -28.7 eV for the cell shown. Number 10: E -16.8 eV for the cell shown. Number 11: E -11.0 eV for the cell shown. Number 12: E -11.1 eV for the cell shown.